VASP calculation (PBE) on crystalline CaCd6Hg12 at its relaxed geometry.

The structure in extended XYZ format:
```
19
Lattice="7.9026 0.4108 0.4921 -0.7920 7.8735 0.4921 -0.7920 -0.9227 7.8347" Properties=species:S:1:pos:R:3 pbc="T T T"
Hg 3.5148 6.1157 8.2601
Hg 3.2258 6.1132 4.1725
Hg -0.1015 2.8210 1.3257
Hg 3.8295 3.7163 2.0586
Hg 2.8038 1.2459 0.5589
Hg 3.0928 1.2484 4.6465
Hg 0.7651 3.9916 4.0244
Hg 6.4201 4.5406 7.4933
Hg 5.5535 3.3700 4.7946
Hg 0.8064 0.0210 3.0125
Hg 5.5122 7.3406 5.8065
Hg 2.4891 3.6453 6.7604
Ca 0.0000 0.0000 0.0000
Cd 0.8999 6.2932 6.2127
Cd 4.7941 1.6457 7.3020
Cd 0.2346 1.5783 5.8950
Cd 1.5245 5.7159 1.5170
Cd 5.4187 1.0685 2.6063
Cd 6.0840 5.7833 2.9241
```

energy of formation	-0.04	eV/atom
energy above the lowest structure with this stoichiometry	17	meV per atom
N(E_F)	0.31	states/eV/atom